# CsLi3Np2Se6, relaxed, DFT PBE
# Spin magnetization   6.00 μB/f.u.
# Uncorrected formation energy   -1.153 eV/atom
# Density   5.1 g/cm3
data_CsLi3Np2Se6
_chemical_formula_sum 'Cs1 Li3 Np2 Se6'
_cell_length_a 8.526
_cell_length_b 8.526
_cell_length_c 10.414
_cell_angle_alpha 97.21
_cell_angle_beta 97.21
_cell_angle_gamma 28.28
_symmetry_space_group_name_H-M 'P 1'
_symmetry_Int_Tables_number 1
_symmetry_space_group_name_Hall 'P 1'
loop_
_atom_site_label
_atom_site_type_symbol
_atom_site_fract_x
_atom_site_fract_y
_atom_site_fract_z
_atom_site_occupancy
Cs1 Cs 0.000 0.000 0.000 1
Li1 Li 0.000 0.000 0.500 1
Li2 Li 0.353 0.353 0.304 1
Li3 Li 0.647 0.647 0.696 1
Np1 Np 0.330 0.330 0.651 1
Np2 Np 0.670 0.670 0.349 1
Se1 Se 0.161 0.161 0.541 1
Se2 Se 0.205 0.205 0.186 1
Se3 Se 0.493 0.493 0.703 1
Se4 Se 0.507 0.507 0.297 1
Se5 Se 0.795 0.795 0.814 1
Se6 Se 0.839 0.839 0.459 1